The following is a DFT calculation (PBE-GGA) of a relaxed structure of VCdPd3.

Lattice parameters (Å, degrees): 4.653 4.653 4.653 90.00 90.00 90.00
Element x y z (fractional)
V 0.000 0.000 0.000
Cd 0.500 0.500 0.500
Pd 0.000 0.000 0.500
Pd 0.000 0.500 0.000
Pd 0.500 0.000 0.000

Values from the calculation:
Space-group type: Pm-3m
Formation enthalpy at 0 K: 12.4 kcal/mol of atoms
Total energy: -4.583 eV/atom